1.
# PBE-GGA KOs3Cl, relaxed
# Magnetization ... 0.0 μB/cell
# Distance to the lowest polymorph of the same formula ... 0.000 eV per atom
data_KOs3Cl
_cell_length_a 4.5001
_cell_length_b 4.5001
_cell_length_c 4.5001
_cell_angle_alpha 90.00
_cell_angle_beta 90.00
_cell_angle_gamma 90.00
_space_group_name_H-M_alt 'P m -3 m'
_space_group_IT_number 221
_space_group_name_Hall '-P 4 2 3'
loop_
_atom_site_label
_atom_site_type_symbol
_atom_site_fract_x
_atom_site_fract_y
_atom_site_fract_z
K1 K 0.0000 0.0000 0.0000
Os1 Os 0.0000 0.5000 0.5000
Cl1 Cl 0.5000 0.5000 0.5000


2.
# PBE-GGA Pm4CdHg2Rh, relaxed
# Magnetization ... 0.0 μB/cell
# Energy of formation ... -0.499 eV per atom
data_Pm4CdHg2Rh
_cell_length_a 5.3148
_cell_length_b 5.3148
_cell_length_c 25.6696
_cell_angle_alpha 90.00
_cell_angle_beta 90.00
_cell_angle_gamma 120.00
_space_group_name_H-M_alt 'R -3 m'
_space_group_IT_number 166
_space_group_name_Hall '-R 3 2"'
loop_
_atom_site_label
_atom_site_type_symbol
_atom_site_fract_x
_atom_site_fract_y
_atom_site_fract_z
Pm1 Pm 0.0000 0.0000 0.1133
Pm2 Pm 0.0000 0.0000 0.3679
Cd1 Cd 0.0000 0.0000 0.5000
Hg1 Hg 0.0000 0.0000 0.2384
Rh1 Rh 0.0000 0.0000 0.0000


3.
# PBE-GGA Rb2Hf2MnSe6, relaxed
# Magnetization ... 10.0 μB/cell
# Final energy ... -0.4348 Ry/atom
data_Rb2Hf2MnSe6
_cell_length_a 6.7513
_cell_length_b 11.7263
_cell_length_c 8.4894
_cell_angle_alpha 90.00
_cell_angle_beta 105.11
_cell_angle_gamma 90.00
_space_group_name_H-M_alt 'C 1 2/m 1'
_space_group_IT_number 12
loop_
_space_group_symop_operation_xyz
'x,y,z'
'-x,-y,-z'
'-x,y,-z'
'x,-y,z'
'x+1/2,y+1/2,z'
'-x+1/2,-y+1/2,-z'
'-x+1/2,y+1/2,-z'
'x+1/2,-y+1/2,z'
loop_
_atom_site_label
_atom_site_type_symbol
_atom_site_fract_x
_atom_site_fract_y
_atom_site_fract_z
Rb1 Rb 0.0000 0.1642 0.0000
Hf1 Hf 0.0000 0.3328 0.5000
Mn1 Mn 0.0000 0.0000 0.5000
Se1 Se 0.2196 0.5000 0.6838
Se2 Se 0.2306 0.1690 0.6843


4.
# PBE-GGA Mo2PbAu, relaxed
# Magnetization ... 0.0 μB/cell
# Energy of formation ... 0.491 eV per atom
data_Mo2PbAu
_cell_length_a 3.3433
_cell_length_b 4.8570
_cell_length_c 9.3751
_cell_angle_alpha 90.00
_cell_angle_beta 90.00
_cell_angle_gamma 90.00
_space_group_name_H-M_alt 'I m m 2'
_space_group_IT_number 44
loop_
_space_group_symop_operation_xyz
'x,y,z'
'-x,-y,z'
'-x,y,z'
'x,-y,z'
'x+1/2,y+1/2,z+1/2'
'-x+1/2,-y+1/2,z+1/2'
'-x+1/2,y+1/2,z+1/2'
'x+1/2,-y+1/2,z+1/2'
loop_
_atom_site_label
_atom_site_type_symbol
_atom_site_fract_x
_atom_site_fract_y
_atom_site_fract_z
Mo1 Mo 0.0000 0.0000 0.0000
Mo2 Mo 0.0000 0.5000 0.3026
Pb1 Pb 0.0000 0.0000 0.5310
Au1 Au 0.0000 0.5000 0.7644


5.
# PBE-GGA NaTl4Pd6, relaxed
# Magnetization ... 0.0 μB/cell
# Energy of formation ... -0.087 eV per atom
data_NaTl4Pd6
_cell_length_a 6.7614
_cell_length_b 6.7614
_cell_length_c 10.6361
_cell_angle_alpha 90.00
_cell_angle_beta 90.00
_cell_angle_gamma 90.00
_space_group_name_H-M_alt 'I -4 2 m'
_space_group_IT_number 121
_space_group_name_Hall 'I -4 2'
loop_
_atom_site_label
_atom_site_type_symbol
_atom_site_fract_x
_atom_site_fract_y
_atom_site_fract_z
Na1 Na 0.0000 0.0000 0.0000
Tl1 Tl 0.2317 0.2317 0.6793
Pd1 Pd 0.0000 0.5000 0.0000
Pd2 Pd 0.1536 0.1536 0.4103


6.
# PBE-GGA Cs4IO12, relaxed
# Magnetization ... 6.4 μB/cell
# Final energy ... -0.3298 Ry/atom
data_Cs4IO12
_cell_length_a 9.4205
_cell_length_b 9.4205
_cell_length_c 9.4205
_cell_angle_alpha 90.00
_cell_angle_beta 90.00
_cell_angle_gamma 90.00
_space_group_name_H-M_alt 'I m -3'
_space_group_IT_number 204
_space_group_name_Hall '-I 2 2 3'
loop_
_atom_site_label
_atom_site_type_symbol
_atom_site_fract_x
_atom_site_fract_y
_atom_site_fract_z
Cs1 Cs 0.2500 0.2500 0.2500
I1 I 0.0000 0.0000 0.0000
O1 O 0.0000 0.4318 0.1102


7.
# PBE-GGA Ca2ZnSe, relaxed
# Magnetization ... 0.0 μB/cell
# Distance to the lowest polymorph of the same formula ... 0.675 eV per atom
data_Ca2ZnSe
_cell_length_a 7.4556
_cell_length_b 7.4556
_cell_length_c 7.4556
_cell_angle_alpha 90.00
_cell_angle_beta 90.00
_cell_angle_gamma 90.00
_space_group_name_H-M_alt 'F -4 3 m'
_space_group_IT_number 216
_space_group_name_Hall 'F -4 2 3'
loop_
_atom_site_label
_atom_site_type_symbol
_atom_site_fract_x
_atom_site_fract_y
_atom_site_fract_z
Ca1 Ca 0.0000 0.0000 0.0000
Ca2 Ca 0.2500 0.2500 0.2500
Zn1 Zn 0.2500 0.2500 0.7500
Se1 Se 0.0000 0.0000 0.5000


8.
# PBE-GGA NaSr2Cd3, relaxed
# Magnetization ... 0.0 μB/cell
# Energy of formation ... -0.221 eV per atom
data_NaSr2Cd3
_cell_length_a 5.6319
_cell_length_b 5.6319
_cell_length_c 13.7997
_cell_angle_alpha 90.00
_cell_angle_beta 90.00
_cell_angle_gamma 120.00
_space_group_name_H-M_alt 'P -3 m 1'
_space_group_IT_number 164
_space_group_name_Hall '-P 3 2"'
loop_
_atom_site_label
_atom_site_type_symbol
_atom_site_fract_x
_atom_site_fract_y
_atom_site_fract_z
Na1 Na 0.3333 0.6667 0.1677
Sr1 Sr 0.0000 0.0000 0.0000
Sr2 Sr 0.0000 0.0000 0.5000
Sr3 Sr 0.3333 0.6667 0.6731
Cd1 Cd 0.0000 0.0000 0.2456
Cd2 Cd 0.3333 0.6667 0.4159
Cd3 Cd 0.3333 0.6667 0.9216


9.
# PBE-GGA Ac3RuI3, relaxed
# Magnetization ... 0.0 μB/cell
# Distance to the lowest polymorph of the same formula ... 0.558 eV per atom
data_Ac3RuI3
_cell_length_a 10.1560
_cell_length_b 17.5422
_cell_length_c 6.8724
_cell_angle_alpha 90.00
_cell_angle_beta 90.00
_cell_angle_gamma 90.00
_space_group_name_H-M_alt 'C m c m'
_space_group_IT_number 63
_space_group_name_Hall '-C 2c 2'
loop_
_atom_site_label
_atom_site_type_symbol
_atom_site_fract_x
_atom_site_fract_y
_atom_site_fract_z
Ac1 Ac 0.0000 0.1837 0.2500
Ac2 Ac 0.2230 0.4078 0.2500
Ru1 Ru 0.0000 0.3330 0.2500
I1 I 0.0000 0.1997 0.7500
I2 I 0.1995 0.4000 0.7500


10.
# PBE-GGA Er2CuSi2Rh5, relaxed
# Magnetization ... 0.0 μB/cell
# Final energy ... -0.5099 Ry/atom
data_Er2CuSi2Rh5
_cell_length_a 9.6886
_cell_length_b 9.6886
_cell_length_c 3.4072
_cell_angle_alpha 90.00
_cell_angle_beta 90.00
_cell_angle_gamma 90.00
_space_group_name_H-M_alt 'P 4/m b m'
_space_group_IT_number 127
_space_group_name_Hall '-P 4 2ab'
loop_
_atom_site_label
_atom_site_type_symbol
_atom_site_fract_x
_atom_site_fract_y
_atom_site_fract_z
Er1 Er 0.1732 0.3268 0.0000
Cu1 Cu 0.0000 0.0000 0.0000
Si1 Si 0.1272 0.6272 0.0000
Rh1 Rh 0.0000 0.5000 0.5000
Rh2 Rh 0.0677 0.7913 0.5000


11.
# PBE-GGA CoOsSe2, relaxed
# Magnetization ... 0.3 μB/cell
# Distance to the lowest polymorph of the same formula ... 0.275 eV per atom
data_CoOsSe2
_cell_length_a 3.0704
_cell_length_b 3.5670
_cell_length_c 6.6229
_cell_angle_alpha 90.00
_cell_angle_beta 90.00
_cell_angle_gamma 90.00
_space_group_name_H-M_alt 'P m m 2'
_space_group_IT_number 25
loop_
_space_group_symop_operation_xyz
'x,y,z'
'-x,-y,z'
'-x,y,z'
'x,-y,z'
loop_
_atom_site_label
_atom_site_type_symbol
_atom_site_fract_x
_atom_site_fract_y
_atom_site_fract_z
Co1 Co 0.0000 0.0000 0.0000
Os1 Os 0.5000 0.5000 0.2163
Se1 Se 0.0000 0.0000 0.3678
Se2 Se 0.5000 0.5000 0.8563


12.
# PBE-GGA PmErMoN3, relaxed
# Magnetization ... 0.0 μB/cell
# Final energy ... -0.6433 Ry/atom
data_PmErMoN3
_cell_length_a 5.8170
_cell_length_b 3.3362
_cell_length_c 8.4705
_cell_angle_alpha 90.00
_cell_angle_beta 103.28
_cell_angle_gamma 90.00
_space_group_name_H-M_alt 'P 1 21/m 1'
_space_group_IT_number 11
loop_
_space_group_symop_operation_xyz
'x,y,z'
'-x,-y,-z'
'-x,y+1/2,-z'
'x,-y+1/2,z'
loop_
_atom_site_label
_atom_site_type_symbol
_atom_site_fract_x
_atom_site_fract_y
_atom_site_fract_z
Pm1 Pm 0.1400 0.2500 0.1895
Er1 Er 0.2668 0.7500 0.5531
Mo1 Mo 0.3911 0.2500 0.8796
N1 N 0.0703 0.2500 0.6734
N2 N 0.2504 0.7500 0.9859
N3 N 0.4543 0.7500 0.3259